# 1
An optimized crystal structure of Pr7HoEr4. Source: Alexandria via LeMat-Bulk, functional PBE.

Properties
ΔE to the lowest computed polymorph in eV per atom: 0.000
Space-group type: No. 2
Electronic total energy in eV/atom: -4.683

a b c (Å): 7.3052 6.3488 11.6060
angles (deg): 79.50 51.02 89.95
With the nearest neighbours (Å) after each atom.
Fractional positions:
Pr1 0.5000 0.0000 0.0000  4 Er 3.59-3.62, 6 Pr 3.62-3.67, 2 Ho 3.65
Pr2 0.0841 0.2804 0.6654  6 Er 3.58-3.69, 5 Pr 3.59-3.68, 1 Ho 3.62
Er1 0.4127 0.7231 0.3331  3 Er 3.57-3.66, 8 Pr 3.58-3.69, 1 Ho 3.62
Pr3 0.7441 0.5013 0.0030  3 Er 3.58-3.64, 7 Pr 3.61-3.69, 2 Ho 3.66-3.68
Pr4 0.9159 0.7196 0.3346  6 Er 3.58-3.69, 5 Pr 3.59-3.68, 1 Ho 3.62
Ho1 0.0000 0.0000 0.0000  10 Pr 3.62-3.68, 2 Er 3.62
Pr5 0.3349 0.7781 0.6655  6 Pr 3.59-3.68, 5 Er 3.61-3.68, 1 Ho 3.62
Er2 0.1636 0.2196 0.3365  4 Er 3.55-3.66, 8 Pr 3.58-3.67
Pr6 0.6651 0.2219 0.3345  6 Pr 3.59-3.68, 5 Er 3.61-3.68, 1 Ho 3.62
Pr7 0.2559 0.4987 0.9970  3 Er 3.58-3.64, 7 Pr 3.61-3.69, 2 Ho 3.66-3.68
Er3 0.8364 0.7804 0.6635  4 Er 3.55-3.66, 8 Pr 3.58-3.67
Er4 0.5873 0.2769 0.6669  3 Er 3.57-3.66, 8 Pr 3.58-3.69, 1 Ho 3.62

# 2
An optimized crystal structure of EuYCuHg. Source: Alexandria via LeMat-Bulk, functional PBE.

Properties
Space-group type: No. 216
Electronic total energy in eV/atom: -5.562

a b c (Å): 5.2247 5.2247 5.2247
angles (deg): 60.00 60.00 60.00
With the nearest neighbours (Å) after each atom.
Fractional positions:
Hg1 0.0000 0.0000 0.0000  4 Eu 3.20, 4 Y 3.20
Y1 0.7500 0.7500 0.7500  4 Hg 3.20, 4 Cu 3.20
Eu1 0.2500 0.2500 0.2500  4 Hg 3.20, 4 Cu 3.20
Cu1 0.5000 0.5000 0.5000  4 Y 3.20, 4 Eu 3.20

# 3
An optimized crystal structure of HOs2Pd. Source: Alexandria via LeMat-Bulk, functional PBE.

Properties
ΔE to the lowest computed polymorph in eV per atom: 0.561
Space-group type: No. 225
Electronic total energy in eV/atom: -6.600

a b c (Å): 4.1698 4.1698 4.1698
angles (deg): 60.00 60.00 60.00
With the nearest neighbours (Å) after each atom.
Fractional positions:
Os1 0.2500 0.2500 0.2500  4 H 2.55, 4 Pd 2.55
Os2 0.7500 0.7500 0.7500  4 Pd 2.55, 4 H 2.55
Pd1 0.5000 0.5000 0.5000  8 Os 2.55
H1 0.0000 0.0000 0.0000  8 Os 2.55

# 4
An optimized crystal structure of Sm2Fe17C2. Source: Alexandria via LeMat-Bulk, functional PBE.

Properties
Space-group type: No. 12
Electronic total energy in eV/atom: -8.214

a b c (Å): 6.4944 6.4944 6.4989
angles (deg): 83.77 83.77 84.00
With the nearest neighbours (Å) after each atom.
Fractional positions:
C1 0.0000 0.5000 0.5000  4 Fe 1.86-1.91
Fe1 0.3439 0.3439 0.8559  9 Fe 2.48-2.69
Fe2 0.1456 0.6571 0.6593  1 C 1.91
Fe3 0.2796 0.7204 0.0000  10 Fe 2.43-2.71
Fe4 0.2850 0.0025 0.7140  1 C 1.86
C2 0.5000 0.0000 0.5000  4 Fe 1.86-1.91
Fe5 0.3429 0.8544 0.3407  1 C 1.91
Fe6 0.9033 0.9033 0.9048  7 Fe 2.39-2.66
Fe7 0.9975 0.7150 0.2860  1 C 1.86
Sm1 0.3490 0.3490 0.3339  2 C 2.55
Fe8 0.6561 0.6561 0.1441  9 Fe 2.48-2.69
Fe9 0.0000 0.0000 0.5000  10 Fe 2.44-2.66
Sm2 0.6510 0.6510 0.6661  2 C 2.55
Fe10 0.7204 0.2796 0.0000  10 Fe 2.43-2.71
Fe11 0.0025 0.2850 0.7140  1 C 1.86
Fe12 0.0967 0.0967 0.0952  7 Fe 2.39-2.66
Fe13 0.0000 0.5000 0.0000  10 Fe 2.43-2.65
Fe14 0.6571 0.1456 0.6593  1 C 1.91
Fe15 0.7150 0.9975 0.2860  1 C 1.86
Fe16 0.5000 0.0000 0.0000  10 Fe 2.43-2.65
Fe17 0.8544 0.3429 0.3407  1 C 1.91

# 5
An optimized crystal structure of TbPm2Y6Er2. Source: Alexandria via LeMat-Bulk, functional PBE.

Properties
Space-group type: No. 12
Electronic total energy in eV/atom: -5.493

a b c (Å): 6.6539 6.6539 12.0553
angles (deg): 101.54 101.54 129.58
With the nearest neighbours (Å) after each atom.
Fractional positions:
Er1 0.7038 0.2962 0.5000  2 Er 3.04, 2 Y 3.29
Y1 0.1354 0.4427 0.7884  3 Pm 3.40-3.63, 5 Y 3.50-3.70, 1 Er 3.52, 1 Tb 3.58
Y2 0.4427 0.1354 0.7884  3 Pm 3.40-3.63, 5 Y 3.50-3.70, 1 Er 3.52, 1 Tb 3.58
Pm1 0.8650 0.1350 0.0000  1 Pm 3.25, 8 Y 3.40-3.63
Tb1 0.0000 0.0000 0.5000  6 Er 3.57-3.75, 8 Y 3.58-3.59
Er2 0.2962 0.7038 0.5000  2 Er 3.04, 2 Y 3.29
Y3 0.2935 0.2935 0.2940  2 Er 3.29, 4 Y 3.50, 2 Pm 3.53, 2 Tb 3.58-3.59
Y4 0.8646 0.5573 0.2116  3 Pm 3.40-3.63, 5 Y 3.50-3.70, 1 Er 3.52, 1 Tb 3.58
Pm2 0.1350 0.8650 0.0000  1 Pm 3.25, 8 Y 3.40-3.63
Y5 0.7065 0.7065 0.7060  2 Er 3.29, 4 Y 3.50, 2 Pm 3.53, 2 Tb 3.58-3.59
Y6 0.5573 0.8646 0.2116  3 Pm 3.40-3.63, 5 Y 3.50-3.70, 1 Er 3.52, 1 Tb 3.58

# 6
An optimized crystal structure of LaCdPd2. Source: Alexandria via LeMat-Bulk, functional PBE.

Properties
Space-group type: No. 123
Electronic total energy in eV/atom: -4.627

a b c (Å): 3.5183 4.9006 4.9006
angles (deg): 90.00 90.00 90.00
With the nearest neighbours (Å) after each atom.
Fractional positions:
La1 0.5000 0.5000 0.5000  8 Pd 3.02
Cd1 0.5000 0.0000 0.0000  8 Pd 3.02
Pd1 0.0000 0.0000 0.5000  4 Cd 3.02, 4 La 3.02
Pd2 0.0000 0.5000 0.0000  4 La 3.02, 4 Cd 3.02

- Which value of electronic total energy does entry 6 give?
  -4.627 eV/atom